(a)
Entry from the Alexandria database: an optimized crystal structure of Mg2Pd8Pt (PBE).

M_tot	0.000	μB per atom

abc: 4.2229 6.7665 7.3290
angles: 117.49 106.74 90.00
With the nearest neighbours (Å) after each atom.
Atoms (fractional coordinates):
Pd  0.0000  0.7027  0.0000  7 Pd 2.74-2.81, 2 Mg 2.79, 2 Pt 2.92
Pd  0.0000  0.2973  0.0000  7 Pd 2.74-2.81, 2 Mg 2.79, 2 Pt 2.92
Pd  0.3495  0.5660  0.6990  3 Mg 2.63-2.68, 1 Pt 2.67, 6 Pd 2.80-2.93
Pd  0.1553  0.1553  0.3105  8 Pd 2.77-2.85, 2 Mg 2.78, 2 Pt 2.85
Pd  0.6505  0.4340  0.3010  3 Mg 2.63-2.68, 1 Pt 2.67, 6 Pd 2.80-2.93
Pd  0.6505  0.8670  0.3010  3 Mg 2.63-2.68, 1 Pt 2.67, 6 Pd 2.80-2.93
Pd  0.3495  0.1330  0.6990  3 Mg 2.63-2.68, 1 Pt 2.67, 6 Pd 2.80-2.93
Pd  0.8447  0.8447  0.6895  8 Pd 2.77-2.85, 2 Mg 2.78, 2 Pt 2.85
Mg  0.8023  0.3023  0.6045  10 Pd 2.63-2.79
Mg  0.1977  0.6977  0.3955  10 Pd 2.63-2.79
Pt  0.5000  0.0000  0.0000  12 Pd 2.67-2.92


(b)
Entry from the Alexandria database: an optimized crystal structure of Mg2Pd8Pt (PBE).

M_tot	0.000	μB per atom

abc: 4.8763 8.1111 8.1111
angles: 37.63 69.19 69.19
With the nearest neighbours (Å) after each atom.
Atoms (fractional coordinates):
Pt  0.0000  0.0000  0.0000  2 Mg 2.68, 8 Pd 2.68-2.94
Pd  0.7795  0.5843  0.5843  6 Pd 2.67-2.87, 2 Pt 2.94
Pd  0.2973  0.8406  0.3389  7 Pd 2.61-2.87, 1 Pt 2.68
Pd  0.8948  0.7414  0.7414  2 Mg 2.63-2.67, 7 Pd 2.67-2.86
Pd  0.7027  0.6611  0.1594  7 Pd 2.61-2.87, 1 Pt 2.68
Pd  0.2205  0.4157  0.4157  6 Pd 2.67-2.87, 2 Pt 2.94
Pd  0.2973  0.3389  0.8406  7 Pd 2.61-2.87, 1 Pt 2.68
Pd  0.7027  0.1594  0.6611  7 Pd 2.61-2.87, 1 Pt 2.68
Pd  0.1052  0.2586  0.2586  2 Mg 2.63-2.67, 7 Pd 2.67-2.86
Mg  0.3120  0.8145  0.8145  2 Pd 2.63-2.67, 1 Pt 2.68
Mg  0.6880  0.1855  0.1855  2 Pd 2.63-2.67, 1 Pt 2.68


Which of them is the most stable, and which is the least stable? (a) and (b), in that order.


(a)
Entry from the Alexandria database: an optimized crystal structure of MgPd3Pt2 (PBE).

M_tot	0.000	μB per atom

abc: 5.1928 5.4883 7.3788
angles: 111.83 90.00 90.00
With the nearest neighbours (Å) after each atom.
Atoms (fractional coordinates):
Mg  0.2500  0.6542  0.3085  8 Pd 2.71-2.95, 4 Pt 2.84
Mg  0.7500  0.3458  0.6915  8 Pd 2.71-2.95, 4 Pt 2.84
Pt  0.0000  0.2494  0.0000  4 Pt 2.60-2.75, 4 Pd 2.73-2.83, 2 Mg 2.84
Pt  0.5000  0.2494  0.0000  4 Pt 2.60-2.75, 4 Pd 2.73-2.83, 2 Mg 2.84
Pt  0.0000  0.7506  0.0000  4 Pt 2.60-2.75, 4 Pd 2.73-2.83, 2 Mg 2.84
Pt  0.5000  0.7506  0.0000  4 Pt 2.60-2.75, 4 Pd 2.73-2.83, 2 Mg 2.84
Pd  0.2500  0.1537  0.3073  6 Pd 2.71-2.96, 2 Mg 2.74, 4 Pt 2.83
Pd  0.2500  0.5729  0.6496  5 Pd 2.71-2.96, 3 Mg 2.71-2.95, 2 Pt 2.73
Pd  0.7500  0.8463  0.6927  6 Pd 2.71-2.96, 2 Mg 2.74, 4 Pt 2.83
Pd  0.7500  0.9233  0.3504  5 Pd 2.71-2.96, 3 Mg 2.71-2.95, 2 Pt 2.73
Pd  0.2500  0.0767  0.6496  5 Pd 2.71-2.96, 3 Mg 2.71-2.95, 2 Pt 2.73
Pd  0.7500  0.4271  0.3504  5 Pd 2.71-2.96, 3 Mg 2.71-2.95, 2 Pt 2.73


(b)
Entry from the Alexandria database: an optimized crystal structure of MgPd3Pt2 (PBE).

M_tot	0.000	μB per atom

abc: 2.8133 5.5894 11.8422
angles: 89.37 90.00 90.00
With the nearest neighbours (Å) after each atom.
Atoms (fractional coordinates):
Pt  0.2500  0.3752  0.4115  2 Mg 2.76, 6 Pd 2.77-2.82, 4 Pt 2.81-2.90
Pt  0.7500  0.6248  0.5885  2 Mg 2.76, 6 Pd 2.77-2.82, 4 Pt 2.81-2.90
Pt  0.2500  0.8773  0.0831  6 Pd 2.77-2.84, 4 Pt 2.77-2.81, 2 Mg 2.81
Pt  0.7500  0.1227  0.9169  6 Pd 2.77-2.84, 4 Pt 2.77-2.81, 2 Mg 2.81
Pd  0.2500  0.3683  0.7509  4 Pt 2.77, 2 Mg 2.77-2.82, 6 Pd 2.79-2.81
Pd  0.7500  0.6246  0.9133  2 Mg 2.75, 4 Pt 2.78-2.84, 6 Pd 2.79-2.84
Pd  0.2500  0.8756  0.4180  6 Pd 2.78-2.81, 4 Pt 2.79-2.82, 2 Mg 2.80
Pd  0.2500  0.3754  0.0867  2 Mg 2.75, 4 Pt 2.78-2.84, 6 Pd 2.79-2.84
Pd  0.7500  0.1244  0.5820  6 Pd 2.78-2.81, 4 Pt 2.79-2.82, 2 Mg 2.80
Pd  0.7500  0.6317  0.2491  4 Pt 2.77, 2 Mg 2.77-2.82, 6 Pd 2.79-2.81
Mg  0.7500  0.1272  0.2500  6 Pd 2.75-2.82, 4 Pt 2.76-2.81, 2 Mg 2.81
Mg  0.2500  0.8728  0.7500  6 Pd 2.75-2.82, 4 Pt 2.76-2.81, 2 Mg 2.81


Which of them is the most stable, and which is the least stable? (b) and (a), in that order.


(a)
Entry from the Alexandria database: an optimized crystal structure of MgPd6Pt (PBE).

M_tot	0.000	μB per atom

abc: 5.2121 5.2121 7.6389
angles: 70.05 70.05 60.00
With the nearest neighbours (Å) after each atom.
Atoms (fractional coordinates):
Pd  0.4399  0.9354  0.6893  5 Pd 2.58-2.66, 1 Mg 2.66
Pd  0.9354  0.9354  0.6893  5 Pd 2.58-2.66, 1 Mg 2.66
Pd  0.0646  0.0646  0.3107  5 Pd 2.58-2.66, 1 Mg 2.66
Pd  0.5601  0.0646  0.3107  5 Pd 2.58-2.66, 1 Mg 2.66
Pd  0.0646  0.5601  0.3107  5 Pd 2.58-2.66, 1 Mg 2.66
Pd  0.9354  0.4399  0.6893  5 Pd 2.58-2.66, 1 Mg 2.66
Pt  0.5000  0.5000  0.5000  12 Pd 2.93
Mg  0.0000  0.0000  0.0000  6 Pd 2.66


(b)
Entry from the Alexandria database: an optimized crystal structure of MgPd6Pt (PBE).

M_tot	0.000	μB per atom

abc: 4.0204 5.5563 5.5563
angles: 89.99 90.00 90.00
With the nearest neighbours (Å) after each atom.
Atoms (fractional coordinates):
Pd  0.5000  0.0000  0.5000  2 Mg 2.78, 2 Pt 2.78, 8 Pd 2.81
Pd  0.0000  0.7496  0.7496  8 Pd 2.77-2.81, 2 Pt 2.81, 2 Mg 2.81
Pd  0.5000  0.5000  0.0000  2 Pt 2.78, 2 Mg 2.78, 8 Pd 2.81
Pd  0.0000  0.7496  0.2504  8 Pd 2.77-2.81, 2 Pt 2.81, 2 Mg 2.81
Pd  0.0000  0.2504  0.2504  8 Pd 2.77-2.81, 2 Pt 2.81, 2 Mg 2.81
Pd  0.0000  0.2504  0.7496  8 Pd 2.77-2.81, 2 Pt 2.81, 2 Mg 2.81
Mg  0.5000  0.0000  0.0000  12 Pd 2.78-2.81
Pt  0.5000  0.5000  0.5000  12 Pd 2.78-2.81


Which of them is the most stable, and which is the least stable? (b) and (a), in that order.


(a)
Entry from the Alexandria database: an optimized crystal structure of MgZnPdPt (PBE).

M_tot	0.000	μB per atom

abc: 4.1683 4.1684 4.5698
angles: 117.13 117.13 90.00
With the nearest neighbours (Å) after each atom.
Atoms (fractional coordinates):
Pt  0.0000  0.0000  0.0000  4 Zn 2.72, 4 Mg 2.72, 4 Pd 2.95
Zn  0.2500  0.7500  0.5000  4 Pd 2.72, 4 Pt 2.72, 4 Mg 2.95
Pd  0.5000  0.5000  0.0000  4 Zn 2.72, 4 Mg 2.72, 4 Pt 2.95
Mg  0.7500  0.2500  0.5000  4 Pt 2.72, 4 Pd 2.72, 4 Zn 2.95


(b)
Entry from the Alexandria database: an optimized crystal structure of MgZnPdPt (PBE).

M_tot	0.000	μB per atom

abc: 4.4080 4.4080 4.4080
angles: 60.00 60.00 60.00
With the nearest neighbours (Å) after each atom.
Atoms (fractional coordinates):
Pd  0.2500  0.2500  0.2500  4 Mg 2.70, 4 Zn 2.70
Zn  0.5000  0.5000  0.5000  4 Pd 2.70, 4 Pt 2.70
Pt  0.7500  0.7500  0.7500  4 Mg 2.70, 4 Zn 2.70
Mg  0.0000  0.0000  0.0000  4 Pt 2.70, 4 Pd 2.70


Which of them is the most stable, and which is the least stable? (a) and (b), in that order.


(a)
Entry from the Alexandria database: an optimized crystal structure of Pu2MgPd (PBE).

M_tot	2.969	μB per atom

abc: 3.9131 3.9131 6.1343
angles: 90.00 90.00 90.00
With the nearest neighbours (Å) after each atom.
Atoms (fractional coordinates):
Mg  0.5000  0.5000  0.5000  2 Pd 3.07, 8 Pu 3.22
Pu  0.0000  0.0000  0.2304  1 Pu 2.83, 4 Pd 3.11
Pu  0.0000  0.0000  0.7696  1 Pu 2.83, 4 Pd 3.11
Pd  0.5000  0.5000  0.0000  2 Mg 3.07, 8 Pu 3.11


(b)
Entry from the Alexandria database: an optimized crystal structure of Pu2MgPd (PBE).

M_tot	2.542	μB per atom

abc: 2.9819 2.9819 11.6057
angles: 82.62 82.62 60.00
With the nearest neighbours (Å) after each atom.
Atoms (fractional coordinates):
Mg  0.0000  0.0000  0.0000  6 Mg 2.98, 2 Pu 3.22
Pd  0.5000  0.5000  0.5000  6 Pd 2.98, 6 Pu 3.05
Pu  0.9066  0.9066  0.2802  6 Pu 2.98, 3 Pd 3.05, 1 Mg 3.22
Pu  0.0934  0.0934  0.7198  6 Pu 2.98, 3 Pd 3.05, 1 Mg 3.22


Which of them is the most stable, and which is the least stable? (a) and (b), in that order.


(a)
Entry from the Alexandria database: an optimized crystal structure of RbMgPd3 (PBE).

M_tot	0.000	μB per atom

abc: 4.9220 4.9220 4.9220
angles: 90.00 90.00 90.00
With the nearest neighbours (Å) after each atom.
Atoms (fractional coordinates):
Pd  0.0000  0.5000  0.0000  2 Mg 2.46
Pd  0.0000  0.0000  0.5000  2 Mg 2.46
Pd  0.5000  0.0000  0.0000  2 Mg 2.46
Mg  0.0000  0.0000  0.0000  6 Pd 2.46
Rb  0.5000  0.5000  0.5000  12 Pd 3.48


(b)
Entry from the Alexandria database: an optimized crystal structure of RbMgPd3 (PBE).

M_tot	0.000	μB per atom

abc: 5.1718 5.1718 5.1718
angles: 90.00 90.00 90.00
With the nearest neighbours (Å) after each atom.
Atoms (fractional coordinates):
Pd  0.0000  0.0000  0.5000  2 Rb 2.59
Pd  0.0000  0.5000  0.0000  2 Rb 2.59
Pd  0.5000  0.0000  0.0000  2 Rb 2.59
Mg  0.5000  0.5000  0.5000  12 Pd 3.66
Rb  0.0000  0.0000  0.0000  6 Pd 2.59


Which of them is the most stable, and which is the least stable? (a) and (b), in that order.